Crystalline KRb2IrBr6 at its relaxed geometry, computed with PBE.

Lattice parameters (Å, degrees): 7.9643 7.9643 7.9643 60.00 60.00 60.00
Last column: nearest neighbours and their distance in Å.
Fractional positions:
K 0.0000 0.0000 0.0000  6 Br 3.12
Rb 0.2500 0.2500 0.2500  12 Br 3.99
Rb 0.7500 0.7500 0.7500  12 Br 3.99
Ir 0.5000 0.5000 0.5000  6 Br 2.51
Br 0.2771 0.2771 0.7229  1 Ir 2.51
Br 0.2771 0.7229 0.2771  1 Ir 2.51
Br 0.2771 0.7229 0.7229  1 Ir 2.51
Br 0.7229 0.2771 0.2771  1 Ir 2.51
Br 0.7229 0.2771 0.7229  1 Ir 2.51
Br 0.7229 0.7229 0.2771  1 Ir 2.51

Properties
* formation energy from raw total energies: -1.112 eV/atom
* space-group type: Fm-3m, No. 225
* excess energy over the best structure of this formula in the dataset: 2 meV/atom

Crystalline Hf2NbFe at its relaxed geometry, computed with PBE.

Lattice parameters (Å, degrees): 4.6374 4.6374 4.6374 60.00 60.00 60.00
Last column: nearest neighbours and their distance in Å.
Fractional positions:
Hf 0.2500 0.2500 0.2500  4 Fe 2.84, 4 Nb 2.84
Hf 0.7500 0.7500 0.7500  4 Nb 2.84, 4 Fe 2.84
Nb 0.0000 0.0000 0.0000  8 Hf 2.84
Fe 0.5000 0.5000 0.5000  8 Hf 2.84

Properties
* calculated formation energy: 1.19 kcal/mol of atoms
* space-group type: Fm-3m, No. 225
* excess energy over the best structure of this formula in the dataset: 156 meV/atom

Crystalline Ba4ZnAu at its relaxed geometry, computed with PBE.

Lattice parameters (Å, degrees): 4.1469 4.1469 14.9219 90.00 90.00 90.00
Last column: nearest neighbours and their distance in Å.
Fractional positions:
Ba 0.0000 0.0000 0.1260  4 Au 3.48, 1 Ba 3.76
Ba 0.0000 0.0000 0.8740  4 Au 3.48, 1 Ba 3.76
Ba 0.5000 0.5000 0.3712  4 Zn 3.51, 1 Ba 3.84
Ba 0.5000 0.5000 0.6288  4 Zn 3.51, 1 Ba 3.84
Zn 0.0000 0.0000 0.5000  8 Ba 3.51
Au 0.5000 0.5000 0.0000  8 Ba 3.48

Properties
* calculated formation energy: -7.11 kcal/mol of atoms
* space-group type: P4/mmm, No. 123
* excess energy over the best structure of this formula in the dataset: 0 meV/atom

Crystalline BaMn2S at its relaxed geometry, computed with PBE.

Lattice parameters (Å, degrees): 4.4966 4.4966 4.4966 60.00 60.00 60.00
Last column: nearest neighbours and their distance in Å.
Fractional positions:
Ba 0.0000 0.0000 0.0000  8 Mn 2.75
Mn 0.2500 0.2500 0.2500  4 S 2.75, 4 Ba 2.75
Mn 0.7500 0.7500 0.7500  4 S 2.75, 4 Ba 2.75
S 0.5000 0.5000 0.5000  8 Mn 2.75

Properties
* formation energy from raw total energies: 1.157 eV/atom
* space-group type: Fm-3m, No. 225
* excess energy over the best structure of this formula in the dataset: 1185 meV/atom

Crystalline SmErCCl at its relaxed geometry, computed with PBE.

Lattice parameters (Å, degrees): 7.2694 7.2694 7.2694 29.08 29.08 29.08
Last column: nearest neighbours and their distance in Å.
Fractional positions:
Sm 0.0000 0.0000 0.0000  3 C 2.55
Er 0.7921 0.7921 0.7921  3 C 2.42
C 0.4018 0.4018 0.4018  3 Er 2.42, 3 Sm 2.55
Cl 0.2244 0.2244 0.2244  3 Er 2.95, 3 Sm 3.10

Properties
* formation energy from raw total energies: -1.071 eV/atom
* space-group type: R3m, No. 160

Crystalline BeHO2 at its relaxed geometry, computed with PBE.

Lattice parameters (Å, degrees): 5.1106 5.1106 5.1106 29.71 29.71 29.71
Last column: nearest neighbours and their distance in Å.
Fractional positions:
Be 0.0000 0.0000 0.0000  2 O 1.44
H 0.5000 0.5000 0.5000  6 O 1.82
O 0.0982 0.0982 0.0982  1 Be 1.44
O 0.9018 0.9018 0.9018  1 Be 1.44

Properties
* space-group type: R-3m, No. 166
* excess energy over the best structure of this formula in the dataset: 1072 meV/atom

Crystalline NaCa5Pd4 at its relaxed geometry, computed with PBE.

Lattice parameters (Å, degrees): 3.5977 3.5977 19.3176 90.00 90.00 90.00
Last column: nearest neighbours and their distance in Å.
Fractional positions:
Na 0.0000 0.0000 0.0000  4 Na 3.60, 8 Ca 3.81
Ca 0.5000 0.5000 0.1468  4 Pd 3.01
Ca 0.5000 0.5000 0.3229  8 Pd 3.07-3.11, 2 Ca 3.40-3.42
Ca 0.5000 0.5000 0.5000  8 Pd 3.07, 2 Ca 3.42
Ca 0.5000 0.5000 0.6771  8 Pd 3.07-3.11, 2 Ca 3.40-3.42
Ca 0.5000 0.5000 0.8532  4 Pd 3.01
Pd 0.0000 0.0000 0.2301  8 Ca 3.01-3.11
Pd 0.0000 0.0000 0.4114  8 Ca 3.07, 1 Pd 3.42
Pd 0.0000 0.0000 0.5886  8 Ca 3.07, 1 Pd 3.42
Pd 0.0000 0.0000 0.7699  8 Ca 3.01-3.11

Properties
* calculated formation energy: -12.72 kcal/mol of atoms
* space-group type: P4/mmm, No. 123

Crystalline YHgAu2N at its relaxed geometry, computed with PBE.

Lattice parameters (Å, degrees): 5.0531 5.0531 5.7242 90.00 90.00 90.00
Last column: nearest neighbours and their distance in Å.
Fractional positions:
Y 0.0000 0.0000 0.0000  2 Hg 2.86
Hg 0.0000 0.0000 0.5000  4 Au 2.53
Au 0.0000 0.5000 0.5000  2 Hg 2.53
Au 0.5000 0.0000 0.5000  2 Hg 2.53
N 0.5000 0.5000 0.0000  4 Y 3.57, 8 Au 3.82

Properties
* formation energy from raw total energies: 1.444 eV/atom
* space-group type: P4/mmm, No. 123

Crystalline CdSn2Pb8 at its relaxed geometry, computed with PBE.

Lattice parameters (Å, degrees): 9.8631 9.8631 6.1066 96.50 96.50 34.38
Last column: nearest neighbours and their distance in Å.
Fractional positions:
Cd 0.0000 0.0000 0.0000  10 Pb 3.34-3.63
Sn 0.2697 0.2697 0.6330  8 Pb 3.37-3.58, 2 Sn 3.38
Sn 0.7303 0.7303 0.3670  8 Pb 3.37-3.58, 2 Sn 3.38
Pb 0.0896 0.0896 0.5594  2 Cd 3.34-3.63, 7 Pb 3.37-3.54, 1 Sn 3.37
Pb 0.1785 0.1785 0.1044  1 Cd 3.35, 5 Pb 3.39-3.54, 4 Sn 3.41-3.52
Pb 0.3594 0.3594 0.1830  8 Pb 3.39-3.57, 2 Sn 3.39-3.58
Pb 0.4508 0.4508 0.7288  1 Sn 3.39, 2 Cd 3.43, 7 Pb 3.43-3.60
Pb 0.5492 0.5492 0.2712  1 Sn 3.39, 2 Cd 3.43, 7 Pb 3.43-3.60
Pb 0.6406 0.6406 0.8170  8 Pb 3.39-3.57, 2 Sn 3.39-3.58
Pb 0.8215 0.8215 0.8956  1 Cd 3.35, 5 Pb 3.39-3.54, 4 Sn 3.41-3.52
Pb 0.9104 0.9104 0.4406  2 Cd 3.34-3.63, 7 Pb 3.37-3.54, 1 Sn 3.37

Properties
* calculated formation energy: 1.18 kcal/mol of atoms
* space-group type: C2/m, No. 12
* excess energy over the best structure of this formula in the dataset: 0 meV/atom

Crystalline AsWBr2 at its relaxed geometry, computed with PBE.

Lattice parameters (Å, degrees): 3.2821 3.2821 12.0686 90.00 90.00 125.54
Last column: nearest neighbours and their distance in Å.
Fractional positions:
As 0.0000 0.0000 0.0000  6 As 3.00-3.28
W 0.0000 0.0000 0.5000  4 Br 2.57
Br 0.5000 0.5000 0.3271  2 W 2.57
Br 0.5000 0.5000 0.6729  2 W 2.57

Properties
* formation energy from raw total energies: 0.674 eV/atom
* space-group type: Cmmm, No. 65
* excess energy over the best structure of this formula in the dataset: 700 meV/atom

Crystalline NpAg2Pd5 at its relaxed geometry, computed with PBE.

Lattice parameters (Å, degrees): 8.3871 8.3871 8.3871 151.12 151.12 41.30
Last column: nearest neighbours and their distance in Å.
Fractional positions:
Np 0.0000 0.0000 0.0000  12 Pd 2.86-2.96
Ag 0.2513 0.2513 0.0000  8 Pd 2.86-2.89, 4 Ag 2.96
Ag 0.7487 0.7487 0.0000  8 Pd 2.86-2.89, 4 Ag 2.96
Pd 0.1243 0.6243 0.5000  2 Np 2.86, 6 Pd 2.86-2.96, 4 Ag 2.86-2.89
Pd 0.3757 0.8757 0.5000  2 Np 2.86, 6 Pd 2.86-2.96, 4 Ag 2.86-2.89
Pd 0.5000 0.5000 0.0000  8 Pd 2.86, 4 Np 2.96
Pd 0.6243 0.1243 0.5000  2 Np 2.86, 6 Pd 2.86-2.96, 4 Ag 2.86-2.89
Pd 0.8757 0.3757 0.5000  2 Np 2.86, 6 Pd 2.86-2.96, 4 Ag 2.86-2.89

Properties
* calculated formation energy: -6.09 kcal/mol of atoms
* space-group type: I4/mmm, No. 139

no.,spin magnetization (μB/cell),calculated volume (Å³ per cell)
1,0.0,357.2
2,0.0,70.5
3,0.0,256.6
4,0.0,64.3
5,0.0,80.3
6,1.0,29.0
7,0.0,250.0
8,0.0,146.2
9,0.0,333.1
10,1.0,105.8
11,3.2,137.3